Density functional theory data (meta-GGA SCAN) for a crystal of MgSb5 relaxed with PBEsol.

Symmetry: Cmmm, No. 65
ΔE_f (raw) (eV per formula unit): 0.4
V (A^3/atom): 27.0
DOS at the Fermi energy (states/eV per cell): 2.96

Unit cell a=9.636 b=9.636 c=4.049 alpha=90.00 beta=90.00 gamma=154.45
Fractional positions:
Mg: 0.000 0.000 0.000
Sb: 0.191 0.809 0.500
Sb: 0.371 0.629 0.000
Sb: 0.500 0.500 0.500
Sb: 0.629 0.371 0.000
Sb: 0.809 0.191 0.500

=====

Density functional theory data (meta-GGA SCAN) for a crystal of ZnCu2Te relaxed with PBEsol.

Symmetry: Pmmm, No. 47
ΔE_f (raw) (eV per formula unit): 1.0
V (A^3/atom): 15.8
DOS at the Fermi energy (states/eV per cell): 1.42

Unit cell a=3.834 b=4.017 c=4.115 alpha=90.00 beta=90.00 gamma=90.00
Fractional positions:
Zn: 0.000 0.000 0.000
Cu: 0.500 0.000 0.500
Cu: 0.500 0.500 0.000
Te: 0.000 0.500 0.500

=====

Density functional theory data (meta-GGA SCAN) for a crystal of CoSbPt2 relaxed with PBEsol.

Symmetry: Imm2, No. 44
ΔE_f (raw) (eV per formula unit): -0.1
V (A^3/atom): 15.2
DOS at the Fermi energy (states/eV per cell): 2.45

Unit cell a=4.806 b=4.806 c=4.806 alpha=133.34 beta=129.65 gamma=71.07
Fractional positions:
Co: 0.000 0.000 0.000
Sb: 0.774 0.274 0.500
Pt: 0.268 0.768 0.500
Pt: 0.529 0.529 0.000

=====

One value per record, in order, for magnetization: 0.00 0.00 2.05 μB per cell.